This record from Alexandria describes a relaxed Ca2La3Nd crystal. The functional is PBE-GGA.

formation enthalpy at 0 K: 0.19 eV per formula unit
SG: P-3m1

extended XYZ file:
```
12
Lattice="7.518 0.000 0.000 -3.759 6.511 0.000 0.000 0.000 9.400" Properties=species:S:1:pos:R:3 pbc="T T T"
Nd 3.759 2.170 6.186
Nd 0.000 4.341 3.214
La 1.878 5.425 6.152
La 5.637 1.086 3.248
La -1.878 5.425 6.152
La 0.000 2.172 6.152
La 1.881 1.086 3.248
La 3.759 4.339 3.248
Ca -1.880 3.256 0.000
Ca 1.880 3.256 0.000
Ca 0.000 0.000 0.000
Ca 3.759 0.000 0.000
```